# 1
VASP calculation (PBE) on crystalline Tl3Pb2Cl8 at its relaxed geometry.

**Raw total energy**: -3.217 eV per atom
**Formation energy from raw total energies**: -0.9636 eV per atom
**Theoretical density**: 4.825 g cm⁻³
**Magnetization**: 0.0000 μB per atom
**DOS at the Fermi energy**: 3.237 states/eV/f.u.

Unit cell a=16.321 b=8.460 c=7.223 alpha=90.00 beta=115.20 gamma=90.00
Space group C2/m (No. 12)
Asymmetric unit:
Tl 0.000 0.000 0.000
Tl 0.000 0.288 0.500
Pb 0.229 0.500 0.182
Cl 0.107 0.000 0.439
Cl 0.129 0.233 0.972
Cl 0.148 0.500 0.428

# 2
VASP calculation (PBE) on crystalline KCd3Se at its relaxed geometry.

**Raw total energy**: -0.832 eV per atom
**Formation energy from raw total energies**: 0.6337 eV per atom
**Theoretical density**: 2.815 g cm⁻³
**Magnetization**: 0.2002 μB per atom
**DOS at the Fermi energy**: 7.782 states/eV/f.u.

Unit cell a=6.452 b=6.452 c=6.452 alpha=90.00 beta=90.00 gamma=90.00
Space group Pm-3m (No. 221)
Asymmetric unit:
K 0.000 0.000 0.000
Cd 0.000 0.000 0.500
Se 0.500 0.500 0.500

# 3
VASP calculation (PBE) on crystalline LiPm2Zn3Pd4 at its relaxed geometry.

**Raw total energy**: -4.213 eV per atom
**Formation energy**: -6.117 eV/f.u.
**Theoretical density**: 8.062 g cm⁻³
**Magnetization**: 0.0000 μB per atom
**DOS at the Fermi energy**: 3.942 states/eV/f.u.

Unit cell a=4.134 b=4.134 c=11.076 alpha=90.00 beta=90.00 gamma=90.00
Space group P-4m2 (No. 115)
Asymmetric unit:
Li 0.000 0.000 0.000
Pm 0.000 0.500 0.743
Zn 0.000 0.500 0.367
Zn 0.500 0.500 0.000
Pd 0.000 0.000 0.500
Pd 0.000 0.500 0.141
Pd 0.500 0.500 0.500

# 4
VASP calculation (PBE) on crystalline KLa2Fe at its relaxed geometry.

**Raw total energy**: -4.585 eV per atom
**Formation energy**: 1.074 eV/f.u.
**Theoretical density**: 4.065 g cm⁻³
**Magnetization**: 0.0000 μB per atom
**DOS at the Fermi energy**: 3.073 states/eV/f.u.

Unit cell a=4.112 b=3.917 c=9.672 alpha=90.00 beta=102.15 gamma=90.00
Space group Pm (No. 6)
Asymmetric unit:
K 0.000 0.000 0.000
La 0.315 0.500 0.637
La 0.684 0.000 0.372
Fe 0.201 0.500 0.406

# 5
VASP calculation (PBE) on crystalline Ba5Mg4Hg4 at its relaxed geometry.

**Raw total energy**: -1.650 eV per atom
**Formation energy**: -4.249 eV/f.u.
**Theoretical density**: 5.852 g cm⁻³
**Magnetization**: 0.0000 μB per atom
**DOS at the Fermi energy**: 12.864 states/eV/f.u.

Unit cell a=13.422 b=13.422 c=4.997 alpha=90.00 beta=90.00 gamma=90.00
Space group I4/m (No. 87)
Asymmetric unit:
Ba 0.000 0.000 0.000
Ba 0.134 0.791 0.500
Mg 0.066 0.403 0.500
Hg 0.050 0.269 0.000

# 6
VASP calculation (PBE) on crystalline Ta3Nb4In at its relaxed geometry.

**Raw total energy**: -9.793 eV per atom
**Formation energy**: 0.232 eV/f.u.
**Theoretical density**: 11.456 g cm⁻³
**Magnetization**: 0.0000 μB per atom
**DOS at the Fermi energy**: 10.094 states/eV/f.u.

Unit cell a=4.729 b=4.729 c=6.670 alpha=90.00 beta=90.00 gamma=90.00
Space group P4/mmm (No. 123)
Asymmetric unit:
Ta 0.000 0.000 0.000
Ta 0.000 0.000 0.500
Ta 0.500 0.500 0.000
Nb 0.000 0.500 0.239
In 0.500 0.500 0.500

# 7
VASP calculation (PBE) on crystalline LaTbEr at its relaxed geometry.

**Raw total energy**: -4.675 eV per atom
**Formation energy**: 0.094 eV/f.u.
**Theoretical density**: 7.746 g cm⁻³
**Magnetization**: 0.0000 μB per atom
**DOS at the Fermi energy**: 4.303 states/eV/f.u.

Unit cell a=3.619 b=3.619 c=15.224 alpha=90.00 beta=90.00 gamma=90.00
Space group I4mm (No. 107)
Asymmetric unit:
La 0.000 0.000 0.000
Tb 0.000 0.000 0.671
Er 0.000 0.000 0.331

# 8
VASP calculation (PBE) on crystalline Li2SiGeSe4 at its relaxed geometry.

**Raw total energy**: -4.182 eV per atom
**Formation energy from raw total energies**: -0.7066 eV per atom
**Theoretical density**: 3.657 g cm⁻³
**Magnetization**: 0.0000 μB per atom
**DOS at the Fermi energy**: 0.000 states/eV/f.u.

Unit cell a=9.253 b=6.803 c=6.209 alpha=90.00 beta=90.00 gamma=90.00
Space group Pmn2_1 (No. 31)
Asymmetric unit:
Li 0.249 0.185 0.000
Si 0.000 0.338 0.516
Ge 0.000 0.701 0.987
Se 0.000 0.337 0.893
Se 0.000 0.664 0.406
Se 0.210 0.189 0.414

# 9
VASP calculation (PBE) on crystalline La2Tb4In at its relaxed geometry.

**Raw total energy**: -4.515 eV per atom
**Formation energy**: -0.488 eV/f.u.
**Theoretical density**: 7.585 g cm⁻³
**Magnetization**: 0.0000 μB per atom
**DOS at the Fermi energy**: 8.710 states/eV/f.u.

Unit cell a=6.561 b=6.324 c=10.850 alpha=90.00 beta=90.00 gamma=90.00
Space group Pmna (No. 53)
Asymmetric unit:
La 0.000 0.242 0.046
Tb 0.000 0.069 0.346
Tb 0.250 0.392 0.750
In 0.000 0.500 0.500

# 10
VASP calculation (PBE) on crystalline PuBSe at its relaxed geometry.

**Raw total energy**: -8.602 eV per atom
**Formation energy from raw total energies**: -0.4376 eV per atom
**Theoretical density**: 9.529 g cm⁻³
**Magnetization**: 1.9618 μB per atom
**DOS at the Fermi energy**: 7.573 states/eV/f.u.

Unit cell a=9.466 b=3.369 c=7.503 alpha=90.00 beta=103.50 gamma=90.00
Space group C2/m (No. 12)
Asymmetric unit:
Pu 0.000 0.000 0.000
Pu 0.000 0.000 0.500
B 0.232 0.500 0.026
Se 0.174 0.500 0.292

# 11
VASP calculation (PBE) on crystalline BaLi2HgAu at its relaxed geometry.

**Raw total energy**: -2.148 eV per atom
**Formation energy**: -1.412 eV/f.u.
**Theoretical density**: 6.471 g cm⁻³
**Magnetization**: 0.0000 μB per atom
**DOS at the Fermi energy**: 3.903 states/eV/f.u.

Unit cell a=5.096 b=5.096 c=5.423 alpha=90.00 beta=90.00 gamma=90.00
Space group P4/mmm (No. 123)
Asymmetric unit:
Ba 0.000 0.000 0.000
Li 0.000 0.500 0.500
Hg 0.500 0.500 0.000
Au 0.500 0.500 0.500

# 12
VASP calculation (PBE) on crystalline TiSn2Au at its relaxed geometry.

**Raw total energy**: -4.707 eV per atom
**Formation energy**: 0.349 eV/f.u.
**Theoretical density**: 9.412 g cm⁻³
**Magnetization**: 0.3558 μB per atom
**DOS at the Fermi energy**: 3.064 states/eV/f.u.

Unit cell a=6.982 b=6.982 c=6.982 alpha=90.00 beta=90.00 gamma=90.00
Space group Fm-3m (No. 225)
Asymmetric unit:
Ti 0.000 0.000 0.000
Sn 0.250 0.250 0.250
Au 0.000 0.000 0.500

# 13
VASP calculation (PBE) on crystalline Cs2Cu3P2 at its relaxed geometry.

**Raw total energy**: -3.795 eV per atom
**Formation energy**: -1.753 eV/f.u.
**Theoretical density**: 4.754 g cm⁻³
**Magnetization**: 0.0000 μB per atom
**DOS at the Fermi energy**: 2.538 states/eV/f.u.

Unit cell a=12.338 b=4.132 c=7.239 alpha=90.00 beta=101.09 gamma=90.00
Space group C2/m (No. 12)
Asymmetric unit:
Cs 0.114 0.000 0.362
Cu 0.000 0.500 0.000
Cu 0.204 0.000 0.928
P 0.131 0.500 0.828

# 14
VASP calculation (PBE) on crystalline SrIrRh2 at its relaxed geometry.

**Raw total energy**: -5.912 eV per atom
**Formation energy**: 1.597 eV/f.u.
**Theoretical density**: 11.160 g cm⁻³
**Magnetization**: 0.6705 μB per atom
**DOS at the Fermi energy**: 4.481 states/eV/f.u.

Unit cell a=6.612 b=6.612 c=6.612 alpha=90.00 beta=90.00 gamma=90.00
Space group Fm-3m (No. 225)
Asymmetric unit:
Sr 0.000 0.000 0.000
Ir 0.000 0.000 0.500
Rh 0.250 0.250 0.250

# 15
VASP calculation (PBE) on crystalline Cs2H6RuPb at its relaxed geometry.

**Raw total energy**: -3.497 eV per atom
**Theoretical density**: 4.495 g cm⁻³
**Magnetization**: 0.0000 μB per atom
**DOS at the Fermi energy**: 0.817 states/eV/f.u.

Unit cell a=6.4535 b=6.4535 c=5.9417 alpha=90.00 beta=90.00 gamma=120.00
Space group P-3m1 (No. 164)
Asymmetric unit:
Cs 0.3333 0.6667 0.1658
H 0.1306 0.2613 0.8382
Ru 0.0000 0.0000 0.0000
Pb 0.0000 0.0000 0.5000

# 16
VASP calculation (PBE) on crystalline Dy3ErTh4 at its relaxed geometry.

**Raw total energy**: -5.870 eV per atom
**Formation energy**: 1.092 eV/f.u.
**Theoretical density**: 10.271 g cm⁻³
**Magnetization**: 0.0001 μB per atom
**DOS at the Fermi energy**: 10.270 states/eV/f.u.

Unit cell a=3.423 b=11.334 c=13.194 alpha=90.00 beta=90.00 gamma=90.00
Space group Immm (No. 71)
Asymmetric unit:
Dy 0.000 0.000 0.000
Dy 0.000 0.500 0.234
Er 0.000 0.000 0.500
Th 0.000 0.253 0.371

# 17
VASP calculation (PBE) on crystalline LaSbSe2 at its relaxed geometry.

**Raw total energy**: -5.061 eV per atom
**Formation energy from raw total energies**: -1.0559 eV per atom
**Theoretical density**: 6.495 g cm⁻³
**Magnetization**: 0.0000 μB per atom
**DOS at the Fermi energy**: 1.818 states/eV/f.u.

Unit cell a=3.999 b=3.922 c=7.076 alpha=90.00 beta=105.38 gamma=90.00
Space group P2/m (No. 10)
Asymmetric unit:
La 0.000 0.000 0.000
Sb 0.000 0.000 0.500
Se 0.382 0.500 0.769

# 18
VASP calculation (PBE) on crystalline Na2CaAuO at its relaxed geometry.

**Raw total energy**: -3.697 eV per atom
**Formation energy from raw total energies**: -1.1217 eV per atom
**Theoretical density**: 4.859 g cm⁻³
**Magnetization**: 0.0000 μB per atom
**DOS at the Fermi energy**: 1.955 states/eV/f.u.

Unit cell a=4.728 b=4.728 c=4.572 alpha=90.00 beta=90.00 gamma=90.00
Space group P4/mmm (No. 123)
Asymmetric unit:
Na 0.000 0.500 0.000
Ca 0.000 0.000 0.500
Au 0.500 0.500 0.500
O 0.000 0.000 0.000

# 19
VASP calculation (PBE) on crystalline AsIr2Au at its relaxed geometry.

**Raw total energy**: -6.216 eV per atom
**Formation energy**: 0.784 eV/f.u.
**Theoretical density**: 17.175 g cm⁻³
**Magnetization**: 0.0000 μB per atom
**DOS at the Fermi energy**: 2.087 states/eV/f.u.

Unit cell a=2.9435 b=2.9435 c=25.3713 alpha=90.00 beta=90.00 gamma=120.00
Space group R-3m (No. 166, hexagonal axes)
Asymmetric unit:
As 0.0000 0.0000 0.0000
Ir 0.0000 0.0000 0.2595
Au 0.0000 0.0000 0.5000

# 20
VASP calculation (PBE) on crystalline Pu3Si3Os2 at its relaxed geometry.

**Raw total energy**: -10.622 eV per atom
**Formation energy from raw total energies**: -0.4063 eV per atom
**Theoretical density**: 12.784 g cm⁻³
**Magnetization**: 0.6791 μB per atom
**DOS at the Fermi energy**: 23.820 states/eV/f.u.

Unit cell a=7.671 b=14.164 c=5.723 alpha=90.00 beta=90.00 gamma=90.00
Space group Pnma (No. 62)
Asymmetric unit:
Pu 0.025 0.108 0.105
Pu 0.164 0.250 0.604
Si 0.158 0.040 0.589
Si 0.184 0.750 0.608
Os 0.138 0.604 0.367